one:
Density functional theory data (PBE) for a geometry-optimized Dy4Ag2Hg structure.

Values from the calculation:
symmetry	R-3m, No. 166
total magnetic moment	0.0	μB per formula unit
density of states at the Fermi level	6.5	states/eV/f.u.

a b c (Å): 8.7607 8.7607 8.7607
angles (deg): 34.11 34.11 34.11
Fractional coordinates of all 7 atoms:
Dy (0.1197, 0.1197, 0.1197)
Dy (0.3718, 0.3718, 0.3718)
Dy (0.6282, 0.6282, 0.6282)
Dy (0.8803, 0.8803, 0.8803)
Ag (0.2488, 0.2488, 0.2488)
Ag (0.7512, 0.7512, 0.7512)
Hg (0.5000, 0.5000, 0.5000)

=====

two:
Density functional theory data (PBE) for a geometry-optimized Dy4Ag2Hg structure.

Values from the calculation:
symmetry	R-3m, No. 166
total magnetic moment	0.0	μB per formula unit
density of states at the Fermi level	10.4	states/eV/f.u.

a b c (Å): 9.9588 9.9588 9.9588
angles (deg): 28.64 28.64 28.64
Fractional coordinates of all 7 atoms:
Dy (0.1211, 0.1211, 0.1211)
Dy (0.2960, 0.2960, 0.2960)
Dy (0.7040, 0.7040, 0.7040)
Dy (0.8789, 0.8789, 0.8789)
Ag (0.4002, 0.4002, 0.4002)
Ag (0.5998, 0.5998, 0.5998)
Hg (0.5000, 0.5000, 0.5000)

=====

one wins, 0.144 eV/atom ahead of the next structure.